Compound: BaHf2Fe
Source: the Alexandria database
Functional: GGA-PBE
Structure: relaxed

POSCAR file:
```
BaHf2Fe
1.0
6.979 0.000 0.000
0.000 6.979 0.000
0.000 0.000 6.979
Ba Hf Fe
4 8 4
Direct
0.000 0.000 0.000
0.000 0.500 0.500
0.500 0.000 0.500
0.500 0.500 0.000
0.250 0.250 0.250
0.250 0.250 0.750
0.250 0.750 0.250
0.250 0.750 0.750
0.750 0.250 0.250
0.750 0.250 0.750
0.750 0.750 0.250
0.750 0.750 0.750
0.000 0.000 0.500
0.000 0.500 0.000
0.500 0.000 0.000
0.500 0.500 0.500
```

Calculated values
**Calculated formation energy**: 0.936 eV/atom
**Spin magnetization**: 0.00 μB/cell